5
Lattice="-1.512 0.151 3.667 3.595 -0.736 1.513 -0.117 5.180 -2.410" Properties=species:S:1:pos:R:3 comment="ErSi2NiIr, optimized geometry, DFT GGA-PBE" dft_energy_ev_per_atom=-6.939 dos_at_fermi_per_ev_cell=3.364 e_form_raw_ev_per_atom=-0.9289 pbc="T T T"
Er 0.000 0.000 0.000
Si 1.262 0.873 2.633
Si 0.704 3.722 0.137
Ni 2.260 2.076 0.847
Ir -0.294 2.519 1.924

7
Lattice="6.171 0.000 0.000 -2.057 5.818 0.000 -2.057 -2.909 5.038" Properties=species:S:1:pos:R:3 comment="PmAl6, optimized geometry, DFT GGA-PBE" relative_energy_ev_per_atom=0.633 dft_energy_ev_per_atom=-3.459 dos_at_fermi_per_ev_cell=2.563 e_form_ev_per_atom=0.43 pbc="T T T"
Pm 0.000 0.000 0.000
Al -1.028 2.909 2.519
Al 1.028 3.636 1.260
Al -1.028 0.727 3.779
Al 3.085 0.000 2.519
Al 1.028 -0.727 3.779
Al 3.085 2.182 1.260